Compound: KRb2CuF6
Source: the Alexandria database
Functional: SCAN
Structure: single point on PBEsol structure

a = 6.1754 Å, b = 6.1754 Å, c = 6.1754 Å
α = 60.00°, β = 60.00°, γ = 60.00°
Closest atoms and distances in Å follow each position.
Element x y z (fractional)
K: 0.5000 0.5000 0.5000  6 F 2.47
Cu: 0.0000 0.0000 0.0000  6 F 1.90
Rb: 0.7500 0.7500 0.7500  12 F 3.10
Rb: 0.2500 0.2500 0.2500  12 F 3.10
F: 0.2177 0.7823 0.7823  1 Cu 1.90
F: 0.7823 0.7823 0.2177  1 Cu 1.90
F: 0.2177 0.2177 0.7823  1 Cu 1.90
F: 0.7823 0.2177 0.2177  1 Cu 1.90
F: 0.2177 0.7823 0.2177  1 Cu 1.90
F: 0.7823 0.2177 0.7823  1 Cu 1.90

Calculated values
Raw formation energy in eV per atom: -2.563
Energy in eV per formula unit: -111.876
Space-group type: Fm-3m (225)